# Li2PuAuO8, optimized geometry, DFT GGA-PBE
# Total energy: -6.094 eV/atom
# Density: 6.02 g/cm³
# V: 160.8 Å³/f.u.
# DOS at the Fermi energy: 16.36 states/eV/cell
data_Li2PuAuO8
_space_group_name_H-M_alt 'I -4 m 2'
_space_group_IT_number 119
_space_group_name_Hall 'I -4 -2'
_cell_length_a 6.498
_cell_length_b 6.498
_cell_length_c 7.614
_cell_angle_alpha 90.00
_cell_angle_beta 90.00
_cell_angle_gamma 90.00
loop_
_atom_site_label
_atom_site_fract_x
_atom_site_fract_y
_atom_site_fract_z
Li1 0.000 0.000 0.000
Li2 0.000 0.500 0.250
Pu1 0.000 0.500 0.750
Au1 0.000 0.000 0.500
O1 0.000 0.218 0.812
O2 0.000 0.303 0.475